Entry 1:
# LaHo2Al

LaHo2Al after structural relaxation (PBE, Alexandria via LeMat-Bulk).

Cell lengths 4.799, 4.840, 4.840 Å; angles 90.00, 90.00, 90.00 degrees
Fractional positions:
Al1 0.500 0.000 0.000
Ho1 0.000 0.000 0.500
Ho2 0.000 0.500 0.000
La1 0.500 0.500 0.500

Results
volume	28.1	Å³/atom
energy of formation	-0.155	eV/atom
polymorph energy (0 for the lowest one)	33	meV per atom
space-group type	No. 123
electronic total energy	-18.4	eV for the cell shown
total moment	0.001	μB per cell
N(E_F)	6.13	states/eV per cell

=====

Entry 2:
# LaHoAl4

LaHoAl4 after structural relaxation (PBE, Alexandria via LeMat-Bulk).

Cell lengths 5.658, 5.658, 5.658 Å; angles 60.00, 60.00, 60.00 degrees
Fractional positions:
Al1 0.625 0.625 0.125
Al2 0.625 0.125 0.625
Al3 0.625 0.625 0.625
Al4 0.125 0.625 0.625
Ho1 0.000 0.000 0.000
La1 0.250 0.250 0.250

Results
volume	21.3	Å³/atom
energy of formation	-0.478	eV/atom
space-group type	No. 216
electronic total energy	-27.3	eV for the cell shown
total moment	0.000	μB per cell
N(E_F)	5.38	states/eV per cell

=====

Entry 3:
# La3HoAl2

La3HoAl2 after structural relaxation (PBE, Alexandria via LeMat-Bulk).

Cell lengths 5.281, 6.769, 9.911 Å; angles 90.00, 90.00, 90.00 degrees
Fractional positions:
La1 0.000 0.470 0.954
La2 0.000 0.970 0.046
La3 0.500 0.696 0.179
La4 0.500 0.196 0.821
La5 0.000 0.307 0.331
La6 0.000 0.807 0.669
Ho1 0.500 0.522 0.548
Ho2 0.500 0.022 0.452
Al1 0.500 0.707 0.848
Al2 0.500 0.207 0.152
Al3 0.000 0.297 0.644
Al4 0.000 0.797 0.356

Results
volume	29.5	Å³/atom
energy of formation	-0.260	eV/atom
space-group type	No. 26
electronic total energy	-56.8	eV for the cell shown
total moment	0.000	μB per cell
N(E_F)	14.04	states/eV per cell

=====

Entry 4:
# La3Ho4Al4

La3Ho4Al4 after structural relaxation (PBE, Alexandria via LeMat-Bulk).

Cell lengths 5.114, 7.397, 9.514 Å; angles 112.88, 105.59, 90.00 degrees
Fractional positions:
La1 0.109 0.109 0.219
La2 0.891 0.891 0.781
La3 0.000 0.500 0.000
Ho1 0.323 0.103 0.647
Ho2 0.677 0.456 0.353
Ho3 0.677 0.897 0.353
Ho4 0.323 0.544 0.647
Al1 0.191 0.691 0.383
Al2 0.809 0.309 0.617
Al3 0.500 0.817 0.000
Al4 0.500 0.183 0.000

Results
volume	28.8	Å³/atom
energy of formation	-0.211	eV/atom
space-group type	No. 71
electronic total energy	-50.4	eV for the cell shown
total moment	0.001	μB per cell
N(E_F)	9.53	states/eV per cell

=====

Entry 5:
# LaHo2Al

LaHo2Al after structural relaxation (PBE, Alexandria via LeMat-Bulk).

Cell lengths 3.540, 3.540, 9.166 Å; angles 90.00, 90.00, 90.00 degrees
Fractional positions:
Al1 0.500 0.500 0.000
Ho1 0.000 0.000 0.795
Ho2 0.000 0.000 0.205
La1 0.500 0.500 0.500

Results
volume	28.7	Å³/atom
energy of formation	-0.189	eV/atom
polymorph energy (0 for the lowest one)	0	meV per atom
space-group type	No. 123
electronic total energy	-18.6	eV for the cell shown
total moment	0.000	μB per cell
N(E_F)	3.96	states/eV per cell

=====

Entry 6:
# LaHo3Al8

LaHo3Al8 after structural relaxation (PBE, Alexandria via LeMat-Bulk).

Cell lengths 5.589, 5.589, 9.196 Å; angles 90.00, 90.00, 120.00 degrees
Fractional positions:
La1 0.000 0.000 0.568
Ho1 0.667 0.333 0.430
Ho2 0.667 0.333 0.066
Ho3 0.000 0.000 0.931
Al1 0.333 0.667 0.498
Al2 0.333 0.667 0.003
Al3 0.504 0.009 0.756
Al4 0.504 0.496 0.756
Al5 0.991 0.496 0.756
Al6 0.162 0.324 0.245
Al7 0.162 0.838 0.245
Al8 0.676 0.838 0.245

Results
volume	20.7	Å³/atom
energy of formation	-0.489	eV/atom
polymorph energy (0 for the lowest one)	8	meV per atom
space-group type	No. 156
electronic total energy	-54.5	eV for the cell shown
total moment	0.000	μB per cell
N(E_F)	5.78	states/eV per cell

=====

Entry 7:
# La12HoAl3

La12HoAl3 after structural relaxation (PBE, Alexandria via LeMat-Bulk).

Cell lengths 5.014, 5.014, 20.280 Å; angles 90.00, 90.00, 90.00 degrees
Fractional positions:
La1 0.500 0.500 0.000
La2 0.500 0.500 0.257
La3 0.500 0.500 0.500
La4 0.500 0.500 0.743
La5 0.500 0.000 0.134
La6 0.500 0.000 0.378
La7 0.500 0.000 0.622
La8 0.500 0.000 0.866
La9 0.000 0.500 0.134
La10 0.000 0.500 0.378
La11 0.000 0.500 0.622
La12 0.000 0.500 0.866
Ho1 0.000 0.000 0.000
Al1 0.000 0.000 0.256
Al2 0.000 0.000 0.500
Al3 0.000 0.000 0.744

Results
volume	31.9	Å³/atom
energy of formation	-0.126	eV/atom
space-group type	No. 123
electronic total energy	-77.0	eV for the cell shown
total moment	0.000	μB per cell
N(E_F)	21.96	states/eV per cell

=====

Entry 8:
# LaHo7Al4

LaHo7Al4 after structural relaxation (PBE, Alexandria via LeMat-Bulk).

Cell lengths 5.508, 9.080, 7.445 Å; angles 77.60, 68.29, 72.34 degrees
Fractional positions:
La1 0.000 0.000 0.000
Ho1 0.787 0.876 0.550
Ho2 0.213 0.124 0.450
Ho3 0.066 0.609 0.259
Ho4 0.934 0.391 0.741
Ho5 0.300 0.641 0.758
Ho6 0.500 0.000 0.000
Ho7 0.700 0.359 0.242
Al1 0.555 0.236 0.655
Al2 0.445 0.764 0.345
Al3 0.677 0.669 0.976
Al4 0.323 0.331 0.024

Results
volume	27.3	Å³/atom
energy of formation	-0.056	eV/atom
space-group type	No. 12
electronic total energy	-52.6	eV for the cell shown
total moment	0.160	μB per cell
N(E_F)	12.82	states/eV per cell

=====

Entry 9:
# LaHo4Al

LaHo4Al after structural relaxation (PBE, Alexandria via LeMat-Bulk).

Cell lengths 3.576, 3.576, 13.903 Å; angles 90.00, 90.00, 90.00 degrees
Fractional positions:
La1 0.000 0.000 0.000
Ho1 0.500 0.500 0.186
Ho2 0.000 0.000 0.633
Ho3 0.000 0.000 0.367
Ho4 0.500 0.500 0.814
Al1 0.500 0.500 0.500

Results
volume	29.6	Å³/atom
energy of formation	-0.109	eV/atom
polymorph energy (0 for the lowest one)	0	meV per atom
space-group type	No. 123
electronic total energy	-27.6	eV for the cell shown
total moment	0.000	μB per cell
N(E_F)	8.01	states/eV per cell

=====

Entry 10:
# LaHo2Al

LaHo2Al after structural relaxation (PBE, Alexandria via LeMat-Bulk).

Cell lengths 5.079, 5.079, 6.296 Å; angles 66.21, 66.21, 60.00 degrees
Fractional positions:
La1 0.490 0.490 0.531
Ho1 0.043 0.043 0.870
Ho2 0.277 0.277 0.170
Al1 0.691 0.691 0.928

Results
volume	31.1	Å³/atom
energy of formation	0.012	eV/atom
polymorph energy (0 for the lowest one)	201	meV per atom
space-group type	No. 160
electronic total energy	-17.8	eV for the cell shown
total moment	0.000	μB per cell
N(E_F)	5.12	states/eV per cell

=====

Entry 11:
# LaHo3Al4

LaHo3Al4 after structural relaxation (PBE, Alexandria via LeMat-Bulk).

Cell lengths 5.141, 7.314, 10.280 Å; angles 90.00, 90.00, 90.00 degrees
Fractional positions:
Al1 0.500 0.763 0.000
Al2 0.500 0.763 0.500
Al3 0.500 0.237 0.000
Al4 0.500 0.237 0.500
Al5 0.001 0.763 0.750
Al6 0.999 0.763 0.250
Al7 0.999 0.237 0.250
Al8 0.001 0.237 0.750
Ho1 0.000 0.000 0.000
Ho2 0.000 0.000 0.500
Ho3 0.501 0.000 0.750
Ho4 0.499 0.000 0.250
Ho5 0.500 0.500 0.750
Ho6 0.500 0.500 0.250
La1 0.000 0.500 0.000
La2 0.000 0.500 0.500

Results
volume	24.2	Å³/atom
energy of formation	-0.377	eV/atom
space-group type	No. 123
electronic total energy	-73.3	eV for the cell shown
total moment	0.000	μB per cell
N(E_F)	5.90	states/eV per cell

=====

Entry 12:
# La2HoAl2

La2HoAl2 after structural relaxation (PBE, Alexandria via LeMat-Bulk).

Cell lengths 5.029, 5.894, 5.894 Å; angles 71.99, 64.75, 64.75 degrees
Fractional positions:
La1 0.805 0.695 0.695
La2 0.195 0.305 0.305
Ho1 0.000 0.000 0.000
Al1 0.500 0.699 0.301
Al2 0.500 0.301 0.699

Results
volume	28.2	Å³/atom
energy of formation	-0.302	eV/atom
space-group type	No. 71
electronic total energy	-23.4	eV for the cell shown
total moment	0.000	μB per cell
N(E_F)	3.88	states/eV per cell

=====

Entry 13:
# La5HoAl6

La5HoAl6 after structural relaxation (PBE, Alexandria via LeMat-Bulk).

Cell lengths 5.332, 7.484, 9.228 Å; angles 66.08, 73.35, 90.00 degrees
Fractional positions:
Al1 0.839 0.604 0.321
Al2 0.839 0.075 0.321
Al3 0.500 0.778 0.000
Al4 0.500 0.222 0.000
Al5 0.161 0.925 0.679
Al6 0.161 0.396 0.679
Ho1 0.000 0.000 0.000
La1 0.677 0.177 0.647
La2 0.338 0.338 0.324
La3 0.000 0.500 0.000
La4 0.662 0.662 0.676
La5 0.323 0.823 0.353

Results
volume	26.6	Å³/atom
energy of formation	-0.361	eV/atom
space-group type	No. 12
electronic total energy	-56.0	eV for the cell shown
total moment	0.000	μB per cell
N(E_F)	5.40	states/eV per cell

=====

Entry 14:
# LaHo3Al8

LaHo3Al8 after structural relaxation (PBE, Alexandria via LeMat-Bulk).

Cell lengths 5.587, 5.587, 9.745 Å; angles 73.34, 73.34, 60.00 degrees
Fractional positions:
La1 0.875 0.875 0.376
Ho1 0.376 0.376 0.873
Ho2 0.000 0.000 0.000
Ho3 0.499 0.499 0.502
Al1 0.940 0.439 0.182
Al2 0.435 0.936 0.692
Al3 0.439 0.439 0.182
Al4 0.936 0.936 0.692
Al5 0.187 0.187 0.439
Al6 0.688 0.688 0.936
Al7 0.439 0.940 0.182
Al8 0.936 0.435 0.692

Results
volume	20.7	Å³/atom
energy of formation	-0.497	eV/atom
polymorph energy (0 for the lowest one)	0	meV per atom
space-group type	No. 160
electronic total energy	-54.6	eV for the cell shown
total moment	0.000	μB per cell
N(E_F)	10.00	states/eV per cell

=====

Entry 15:
# La3HoAl8

La3HoAl8 after structural relaxation (PBE, Alexandria via LeMat-Bulk).

Cell lengths 5.699, 5.699, 9.374 Å; angles 90.00, 90.00, 120.00 degrees
Fractional positions:
La1 0.667 0.333 0.432
La2 0.667 0.333 0.070
La3 0.000 0.000 0.934
Ho1 0.000 0.000 0.569
Al1 0.333 0.667 0.502
Al2 0.333 0.667 0.996
Al3 0.504 0.009 0.745
Al4 0.504 0.496 0.745
Al5 0.991 0.496 0.745
Al6 0.162 0.324 0.254
Al7 0.162 0.838 0.254
Al8 0.676 0.838 0.254

Results
volume	22.0	Å³/atom
energy of formation	-0.477	eV/atom
polymorph energy (0 for the lowest one)	16	meV per atom
space-group type	No. 156
electronic total energy	-55.0	eV for the cell shown
total moment	0.000	μB per cell
N(E_F)	7.30	states/eV per cell

=====

Entry 16:
# La3HoAl8

La3HoAl8 after structural relaxation (PBE, Alexandria via LeMat-Bulk).

Cell lengths 5.697, 5.697, 9.895 Å; angles 73.27, 73.27, 60.00 degrees
Fractional positions:
La1 0.375 0.375 0.876
La2 0.001 0.001 0.998
La3 0.500 0.500 0.501
Ho1 0.875 0.875 0.375
Al1 0.935 0.437 0.192
Al2 0.440 0.938 0.683
Al3 0.437 0.437 0.192
Al4 0.938 0.938 0.683
Al5 0.188 0.188 0.436
Al6 0.687 0.687 0.939
Al7 0.437 0.935 0.192
Al8 0.938 0.440 0.683

Results
volume	21.9	Å³/atom
energy of formation	-0.493	eV/atom
polymorph energy (0 for the lowest one)	0	meV per atom
space-group type	No. 160
electronic total energy	-55.2	eV for the cell shown
total moment	0.000	μB per cell
N(E_F)	7.74	states/eV per cell

=====

Entry 17:
# La12Ho3Al

La12Ho3Al after structural relaxation (PBE, Alexandria via LeMat-Bulk).

Cell lengths 5.131, 5.131, 20.717 Å; angles 90.00, 90.00, 90.00 degrees
Fractional positions:
La1 0.500 0.500 0.000
La2 0.500 0.500 0.247
La3 0.500 0.500 0.500
La4 0.500 0.500 0.753
La5 0.500 0.000 0.118
La6 0.500 0.000 0.373
La7 0.500 0.000 0.627
La8 0.500 0.000 0.882
La9 0.000 0.500 0.118
La10 0.000 0.500 0.373
La11 0.000 0.500 0.627
La12 0.000 0.500 0.882
Ho1 0.000 0.000 0.246
Ho2 0.000 0.000 0.500
Ho3 0.000 0.000 0.754
Al1 0.000 0.000 0.000

Results
volume	34.1	Å³/atom
energy of formation	-0.028	eV/atom
space-group type	No. 123
electronic total energy	-77.0	eV for the cell shown
total moment	0.000	μB per cell
N(E_F)	21.16	states/eV per cell

=====

Entry 18:
# LiLaHoAl

LiLaHoAl after structural relaxation (PBE, Alexandria via LeMat-Bulk).

Cell lengths 5.276, 5.276, 5.276 Å; angles 60.00, 60.00, 60.00 degrees
Fractional positions:
Al1 0.500 0.500 0.500
Li1 0.000 0.000 0.000
Ho1 0.750 0.750 0.750
La1 0.250 0.250 0.250

Results
volume	26.0	Å³/atom
energy of formation	-0.191	eV/atom
space-group type	No. 216
electronic total energy	-15.9	eV for the cell shown
total moment	0.000	μB per cell
N(E_F)	3.99	states/eV per cell

=====

Entry 19:
# LaHoMgAl

LaHoMgAl after structural relaxation (PBE, Alexandria via LeMat-Bulk).

Cell lengths 5.328, 5.328, 5.328 Å; angles 60.00, 60.00, 60.00 degrees
Fractional positions:
Mg1 0.000 0.000 0.000
Al1 0.500 0.500 0.500
Ho1 0.750 0.750 0.750
La1 0.250 0.250 0.250

Results
volume	26.7	Å³/atom
energy of formation	-0.256	eV/atom
space-group type	No. 216
electronic total energy	-15.9	eV for the cell shown
total moment	0.000	μB per cell
N(E_F)	2.96	states/eV per cell

=====

Entry 20:
# LaNdHoAl

LaNdHoAl after structural relaxation (PBE, Alexandria via LeMat-Bulk).

Cell lengths 5.493, 5.493, 5.493 Å; angles 60.00, 60.00, 60.00 degrees
Fractional positions:
Al1 0.250 0.250 0.250
Nd1 0.000 0.000 0.000
Ho1 0.750 0.750 0.750
La1 0.500 0.500 0.500

Results
volume	29.3	Å³/atom
energy of formation	-0.068	eV/atom
space-group type	No. 216
electronic total energy	-18.3	eV for the cell shown
total moment	0.000	μB per cell
N(E_F)	6.76	states/eV per cell